{
  "formula": "LiYAl2",
  "functional": "GGA-PBE",
  "state": "relaxed",
  "de_polymorph_mev_per_atom": 86,
  "magnetic_moment_mub_per_cell": 0.00,
  "space_group": "I-4m2 (119)",
  "lattice_angstrom": [[4.756, 0.004, -0.040], [0.010, 4.756, 0.040], [-2.353, -2.411, 3.358]],
  "species": ["Al", "Al", "Li", "Y"],
  "fractional_positions": [[0.000, 0.000, 0.000], [0.750, 0.250, 0.500], [0.500, 0.500, 0.000], [0.250, 0.750, 0.500]]
}